1.
Below is crystalline LiGa2NiAs at its relaxed geometry, with properties calculated at the GGA-PBE level.

a b c (Å): 4.514 4.514 4.555
angles (deg): 90.00 90.00 90.00
Fractional coordinates of all 5 atoms:
Li (0.000, 0.000, 0.000)
Ga (0.000, 0.500, 0.500)
Ga (0.500, 0.000, 0.500)
Ni (0.000, 0.000, 0.500)
As (0.500, 0.500, 0.000)

E = -3.633 eV/atom
DOS(E_F) = 0.715 states/eV/atom
ΔE_f = 0.047 eV/atom



2.
Below is crystalline Hf3NbTe at its relaxed geometry, with properties calculated at the GGA-PBE level.

a b c (Å): 5.123 5.123 5.123
angles (deg): 90.00 90.00 90.00
Fractional coordinates of all 5 atoms:
Hf (0.000, 0.000, 0.500)
Hf (0.000, 0.500, 0.000)
Hf (0.500, 0.000, 0.000)
Nb (0.500, 0.500, 0.500)
Te (0.000, 0.000, 0.000)

E = -7.532 eV/atom
DOS(E_F) = 0.899 states/eV/atom
formation energy without anion corrections = 5.41 eV per formula unit
energy above the most stable polymorph in this dataset = 1.186 eV/atom



3.
Below is crystalline RbNaMgI4 at its relaxed geometry, with properties calculated at the GGA-PBE level.

a b c (Å): 7.864 8.353 9.887
angles (deg): 90.00 106.69 90.00
Fractional coordinates of all 14 atoms:
Rb (0.230, 0.250, 0.054)
Rb (0.770, 0.750, 0.946)
Na (0.227, 0.250, 0.565)
Na (0.773, 0.750, 0.435)
Mg (0.234, 0.750, 0.326)
Mg (0.766, 0.250, 0.674)
I (0.004, 0.501, 0.722)
I (0.004, 0.999, 0.722)
I (0.424, 0.750, 0.134)
I (0.468, 0.750, 0.588)
I (0.532, 0.250, 0.412)
I (0.576, 0.250, 0.866)
I (0.996, 0.001, 0.278)
I (0.996, 0.499, 0.278)

E = -2.654 eV/atom
DOS(E_F) = 0.000 states/eV/atom
formation energy without anion corrections = -8.49 eV per formula unit



4.
Below is crystalline Th4Ag at its relaxed geometry, with properties calculated at the GGA-PBE level.

a b c (Å): 5.659 5.659 5.659
angles (deg): 90.00 90.00 90.00
Fractional coordinates of all 5 atoms:
Th (0.000, 0.000, 0.000)
Th (0.000, 0.500, 0.500)
Th (0.500, 0.000, 0.500)
Th (0.500, 0.500, 0.000)
Ag (0.500, 0.500, 0.500)

E = -5.848 eV/atom
DOS(E_F) = 2.154 states/eV/atom
ΔE_f = 0.658 eV/atom



5.
Below is crystalline MgScIn4 at its relaxed geometry, with properties calculated at the GGA-PBE level.

a b c (Å): 5.970 5.970 5.970
angles (deg): 60.00 60.00 60.00
Fractional coordinates of all 6 atoms:
Mg (0.000, 0.000, 0.000)
Sc (0.750, 0.750, 0.750)
In (0.375, 0.375, 0.375)
In (0.375, 0.375, 0.875)
In (0.375, 0.875, 0.375)
In (0.875, 0.375, 0.375)

E = -3.100 eV/atom
DOS(E_F) = 1.044 states/eV/atom
ΔE_f = 0.046 eV/atom
energy above the most stable polymorph in this dataset = 0.172 eV/atom



6.
Below is crystalline SrLaGa at its relaxed geometry, with properties calculated at the GGA-PBE level.

a b c (Å): 3.868 3.868 13.834
angles (deg): 90.00 90.00 90.00
Fractional coordinates of all 6 atoms:
Sr (0.000, 0.000, 0.139)
Sr (0.000, 0.000, 0.861)
La (0.500, 0.500, 0.377)
La (0.500, 0.500, 0.623)
Ga (0.000, 0.000, 0.500)
Ga (0.500, 0.500, 0.000)

E = -3.483 eV/atom
DOS(E_F) = 1.030 states/eV/atom
ΔE_f = -0.271 eV/atom
energy above the most stable polymorph in this dataset = 0.099 eV/atom



7.
Below is crystalline LiPrScCo at its relaxed geometry, with properties calculated at the GGA-PBE level.

a b c (Å): 6.824 6.824 6.824
angles (deg): 90.00 90.00 90.00
Fractional coordinates of all 16 atoms:
Li (0.000, 0.000, 0.000)
Li (0.000, 0.500, 0.500)
Li (0.500, 0.000, 0.500)
Li (0.500, 0.500, 0.000)
Pr (0.250, 0.250, 0.250)
Pr (0.250, 0.750, 0.750)
Pr (0.750, 0.250, 0.750)
Pr (0.750, 0.750, 0.250)
Sc (0.250, 0.250, 0.750)
Sc (0.250, 0.750, 0.250)
Sc (0.750, 0.250, 0.250)
Sc (0.750, 0.750, 0.750)
Co (0.000, 0.000, 0.500)
Co (0.000, 0.500, 0.000)
Co (0.500, 0.000, 0.000)
Co (0.500, 0.500, 0.500)

E = -5.036 eV/atom
DOS(E_F) = 0.923 states/eV/atom
ΔE_f = -0.003 eV/atom



8.
Below is crystalline Pm4CoAsBr2 at its relaxed geometry, with properties calculated at the GGA-PBE level.

a b c (Å): 7.511 4.010 7.772
angles (deg): 90.00 107.01 90.00
Fractional coordinates of all 8 atoms:
Pm (0.206, 0.000, 0.191)
Pm (0.249, 0.500, 0.794)
Pm (0.751, 0.500, 0.206)
Pm (0.794, 0.000, 0.809)
Co (0.000, 0.500, 0.000)
As (0.500, 0.000, 0.000)
Br (0.000, 0.000, 0.500)
Br (0.500, 0.500, 0.500)

E = -5.311 eV/atom
DOS(E_F) = 0.577 states/eV/atom
formation energy without anion corrections = -8.38 eV per formula unit



9.
Below is crystalline SmDy3Sb2 at its relaxed geometry, with properties calculated at the GGA-PBE level.

a b c (Å): 9.410 9.410 9.729
angles (deg): 113.39 113.39 26.69
Fractional coordinates of all 12 atoms:
Sm (0.110, 0.110, 0.119)
Sm (0.890, 0.890, 0.881)
Dy (0.057, 0.057, 0.676)
Dy (0.312, 0.312, 0.109)
Dy (0.356, 0.356, 0.524)
Dy (0.644, 0.644, 0.476)
Dy (0.688, 0.688, 0.891)
Dy (0.943, 0.943, 0.324)
Sb (0.247, 0.247, 0.717)
Sb (0.490, 0.490, 0.155)
Sb (0.510, 0.510, 0.845)
Sb (0.753, 0.753, 0.283)

E = -5.157 eV/atom
DOS(E_F) = 1.081 states/eV/atom
formation energy without anion corrections = -4.17 eV per formula unit



10.
Below is crystalline RbLi2Ge at its relaxed geometry, with properties calculated at the GGA-PBE level.

a b c (Å): 5.634 5.634 17.043
angles (deg): 90.00 90.00 90.00
Fractional coordinates of all 16 atoms:
Rb (0.000, 0.250, 0.375)
Rb (0.000, 0.750, 0.625)
Rb (0.500, 0.250, 0.125)
Rb (0.500, 0.750, 0.875)
Li (0.000, 0.000, 0.000)
Li (0.000, 0.500, 0.000)
Li (0.250, 0.250, 0.750)
Li (0.250, 0.750, 0.250)
Li (0.500, 0.000, 0.500)
Li (0.500, 0.500, 0.500)
Li (0.750, 0.250, 0.750)
Li (0.750, 0.750, 0.250)
Ge (0.000, 0.250, 0.875)
Ge (0.000, 0.750, 0.125)
Ge (0.500, 0.250, 0.625)
Ge (0.500, 0.750, 0.375)

E = -2.289 eV/atom
DOS(E_F) = 0.548 states/eV/atom
ΔE_f = 0.064 eV/atom



11.
Below is crystalline AlZnGa at its relaxed geometry, with properties calculated at the GGA-PBE level.

a b c (Å): 3.105 2.717 6.269
angles (deg): 90.00 103.23 90.00
Fractional coordinates of all 3 atoms:
Al (0.000, 0.000, 0.000)
Zn (0.346, 0.500, 0.693)
Ga (0.683, 0.000, 0.375)

E = -2.636 eV/atom
DOS(E_F) = 0.304 states/eV/atom
ΔE_f = 0.046 eV/atom



12.
Below is crystalline BaNiW at its relaxed geometry, with properties calculated at the GGA-PBE level.

a b c (Å): 4.072 4.072 10.743
angles (deg): 90.00 90.00 120.00
Fractional coordinates of all 6 atoms:
Ba (0.000, 0.000, 0.000)
Ba (0.000, 0.000, 0.500)
Ni (0.333, 0.667, 0.250)
Ni (0.667, 0.333, 0.750)
W (0.333, 0.667, 0.750)
W (0.667, 0.333, 0.250)

E = -6.105 eV/atom
DOS(E_F) = 0.572 states/eV/atom
ΔE_f = 0.781 eV/atom
energy above the most stable polymorph in this dataset = 0.461 eV/atom



13.
Below is crystalline LaYAg2 at its relaxed geometry, with properties calculated at the GGA-PBE level.

a b c (Å): 4.449 4.449 10.445
angles (deg): 90.00 90.00 90.00
Fractional coordinates of all 8 atoms:
La (0.000, 0.000, 0.000)
La (0.500, 0.500, 0.500)
Y (0.000, 0.500, 0.750)
Y (0.500, 0.000, 0.250)
Ag (0.000, 0.000, 0.500)
Ag (0.000, 0.500, 0.250)
Ag (0.500, 0.000, 0.750)
Ag (0.500, 0.500, 0.000)

E = -4.373 eV/atom
DOS(E_F) = 1.273 states/eV/atom
ΔE_f = -0.100 eV/atom



14.
Below is crystalline KCaTlBr4 at its relaxed geometry, with properties calculated at the GGA-PBE level.

a b c (Å): 5.674 5.674 16.761
angles (deg): 90.00 90.00 90.00
Fractional coordinates of all 14 atoms:
K (0.000, 0.000, 0.000)
K (0.500, 0.500, 0.500)
Ca (0.000, 0.000, 0.361)
Ca (0.500, 0.500, 0.861)
Tl (0.000, 0.000, 0.719)
Tl (0.500, 0.500, 0.219)
Br (0.000, 0.000, 0.192)
Br (0.000, 0.000, 0.535)
Br (0.000, 0.500, 0.368)
Br (0.000, 0.500, 0.868)
Br (0.500, 0.000, 0.368)
Br (0.500, 0.000, 0.868)
Br (0.500, 0.500, 0.035)
Br (0.500, 0.500, 0.692)

E = -3.316 eV/atom
DOS(E_F) = 0.000 states/eV/atom
formation energy without anion corrections = -11.06 eV per formula unit



15.
Below is crystalline HoTaOs2 at its relaxed geometry, with properties calculated at the GGA-PBE level.

a b c (Å): 6.546 6.546 6.546
angles (deg): 90.00 90.00 90.00
Fractional coordinates of all 16 atoms:
Ho (0.000, 0.000, 0.000)
Ho (0.000, 0.500, 0.500)
Ho (0.500, 0.000, 0.500)
Ho (0.500, 0.500, 0.000)
Ta (0.000, 0.000, 0.500)
Ta (0.000, 0.500, 0.000)
Ta (0.500, 0.000, 0.000)
Ta (0.500, 0.500, 0.500)
Os (0.250, 0.250, 0.250)
Os (0.250, 0.250, 0.750)
Os (0.250, 0.750, 0.250)
Os (0.250, 0.750, 0.750)
Os (0.750, 0.250, 0.250)
Os (0.750, 0.250, 0.750)
Os (0.750, 0.750, 0.250)
Os (0.750, 0.750, 0.750)

E = -9.966 eV/atom
DOS(E_F) = 0.246 states/eV/atom
ΔE_f = -0.244 eV/atom
energy above the most stable polymorph in this dataset = 0.074 eV/atom



16.
Below is crystalline Cs3HfCr at its relaxed geometry, with properties calculated at the GGA-PBE level.

a b c (Å): 7.177 7.177 7.177
angles (deg): 90.00 90.00 90.00
Fractional coordinates of all 5 atoms:
Cs (0.000, 0.000, 0.500)
Cs (0.000, 0.500, 0.000)
Cs (0.500, 0.000, 0.000)
Hf (0.000, 0.000, 0.000)
Cr (0.500, 0.500, 0.500)

E = -2.814 eV/atom
DOS(E_F) = 1.890 states/eV/atom
ΔE_f = 1.613 eV/atom



17.
Below is crystalline Cu2OsSe at its relaxed geometry, with properties calculated at the GGA-PBE level.

a b c (Å): 2.631 3.995 5.606
angles (deg): 90.00 91.01 90.00
Fractional coordinates of all 4 atoms:
Cu (0.011, 0.000, 0.222)
Cu (0.989, 0.000, 0.778)
Os (0.500, 0.500, 0.000)
Se (0.500, 0.500, 0.500)

E = -5.178 eV/atom
DOS(E_F) = 0.760 states/eV/atom
formation energy without anion corrections = 2.20 eV per formula unit



18.
Below is crystalline La8TlAg2 at its relaxed geometry, with properties calculated at the GGA-PBE level.

a b c (Å): 8.923 8.923 8.862
angles (deg): 118.41 118.41 36.20
Fractional coordinates of all 11 atoms:
La (0.072, 0.072, 0.224)
La (0.143, 0.143, 0.704)
La (0.315, 0.315, 0.536)
La (0.404, 0.404, 0.047)
La (0.596, 0.596, 0.953)
La (0.685, 0.685, 0.464)
La (0.857, 0.857, 0.296)
La (0.928, 0.928, 0.776)
Tl (0.500, 0.500, 0.500)
Ag (0.225, 0.225, 0.116)
Ag (0.775, 0.775, 0.884)

E = -4.473 eV/atom
DOS(E_F) = 1.199 states/eV/atom
ΔE_f = -0.156 eV/atom
energy above the most stable polymorph in this dataset = 0.000 eV/atom



19.
Below is crystalline Zr5Ir at its relaxed geometry, with properties calculated at the GGA-PBE level.

a b c (Å): 3.325 14.989 5.049
angles (deg): 90.00 90.00 90.00
Fractional coordinates of all 12 atoms:
Zr (0.000, 0.000, 0.000)
Zr (0.000, 0.153, 0.500)
Zr (0.000, 0.335, 0.000)
Zr (0.000, 0.665, 0.000)
Zr (0.000, 0.847, 0.500)
Zr (0.500, 0.165, 0.000)
Zr (0.500, 0.347, 0.500)
Zr (0.500, 0.500, 0.000)
Zr (0.500, 0.653, 0.500)
Zr (0.500, 0.835, 0.000)
Ir (0.000, 0.500, 0.500)
Ir (0.500, 0.000, 0.500)

E = -8.832 eV/atom
DOS(E_F) = 1.360 states/eV/atom
ΔE_f = -0.232 eV/atom
energy above the most stable polymorph in this dataset = 0.057 eV/atom



20.
Below is crystalline Hf5CoPb2 at its relaxed geometry, with properties calculated at the GGA-PBE level.

a b c (Å): 7.248 11.423 4.216
angles (deg): 90.00 90.00 90.00
Fractional coordinates of all 16 atoms:
Hf (0.000, 0.000, 0.000)
Hf (0.131, 0.307, 0.000)
Hf (0.184, 0.562, 0.500)
Hf (0.316, 0.062, 0.500)
Hf (0.369, 0.807, 0.000)
Hf (0.500, 0.500, 0.000)
Hf (0.631, 0.193, 0.000)
Hf (0.684, 0.938, 0.500)
Hf (0.816, 0.438, 0.500)
Hf (0.869, 0.693, 0.000)
Co (0.000, 0.500, 0.000)
Co (0.500, 0.000, 0.000)
Pb (0.076, 0.824, 0.500)
Pb (0.424, 0.324, 0.500)
Pb (0.576, 0.676, 0.500)
Pb (0.924, 0.176, 0.500)

E = -8.094 eV/atom
DOS(E_F) = 0.993 states/eV/atom
ΔE_f = -0.058 eV/atom



21.
Below is crystalline Pm7NdMg2 at its relaxed geometry, with properties calculated at the GGA-PBE level.

a b c (Å): 8.862 3.416 11.689
angles (deg): 90.00 111.05 90.00
Fractional coordinates of all 10 atoms:
Pm (0.000, 0.000, 0.000)
Pm (0.195, 0.000, 0.306)
Pm (0.219, 0.000, 0.810)
Pm (0.398, 0.500, 0.114)
Pm (0.602, 0.500, 0.886)
Pm (0.781, 0.000, 0.190)
Pm (0.805, 0.000, 0.694)
Nd (0.000, 0.500, 0.500)
Mg (0.399, 0.000, 0.603)
Mg (0.601, 0.000, 0.397)

E = -3.980 eV/atom
DOS(E_F) = 1.544 states/eV/atom
ΔE_f = 0.141 eV/atom
energy above the most stable polymorph in this dataset = 0.000 eV/atom



22.
Below is crystalline AgC2I at its relaxed geometry, with properties calculated at the GGA-PBE level.

a b c (Å): 5.188 5.188 10.472
angles (deg): 90.00 90.00 90.00
Fractional coordinates of all 16 atoms:
Ag (0.000, 0.000, 0.000)
Ag (0.000, 0.500, 0.250)
Ag (0.500, 0.000, 0.750)
Ag (0.500, 0.500, 0.500)
C (0.240, 0.250, 0.125)
C (0.250, 0.740, 0.375)
C (0.250, 0.760, 0.875)
C (0.260, 0.250, 0.625)
C (0.740, 0.750, 0.625)
C (0.750, 0.240, 0.875)
C (0.750, 0.260, 0.375)
C (0.760, 0.750, 0.125)
I (0.000, 0.000, 0.500)
I (0.000, 0.500, 0.750)
I (0.500, 0.000, 0.250)
I (0.500, 0.500, 0.000)

E = -3.385 eV/atom
DOS(E_F) = 0.112 states/eV/atom
formation energy without anion corrections = 9.31 eV per formula unit
energy above the most stable polymorph in this dataset = 0.000 eV/atom



23.
Below is crystalline GaAgB2 at its relaxed geometry, with properties calculated at the GGA-PBE level.

a b c (Å): 3.520 3.520 18.062
angles (deg): 90.00 90.00 90.00
Fractional coordinates of all 16 atoms:
Ga (0.000, 0.250, 0.375)
Ga (0.000, 0.750, 0.625)
Ga (0.500, 0.250, 0.125)
Ga (0.500, 0.750, 0.875)
Ag (0.000, 0.250, 0.875)
Ag (0.000, 0.750, 0.125)
Ag (0.500, 0.250, 0.625)
Ag (0.500, 0.750, 0.375)
B (0.000, 0.000, 0.500)
B (0.000, 0.500, 0.500)
B (0.250, 0.250, 0.250)
B (0.250, 0.750, 0.750)
B (0.500, 0.000, 0.000)
B (0.500, 0.500, 0.000)
B (0.750, 0.250, 0.250)
B (0.750, 0.750, 0.750)

E = -3.935 eV/atom
DOS(E_F) = 0.283 states/eV/atom
ΔE_f = 0.874 eV/atom



24.
Below is crystalline CsSr2UO5 at its relaxed geometry, with properties calculated at the GGA-PBE level.

a b c (Å): 7.076 7.076 7.076
angles (deg): 143.55 125.01 67.78
Fractional coordinates of all 9 atoms:
Cs (0.000, 0.000, 0.000)
Sr (0.276, 0.776, 0.500)
Sr (0.724, 0.224, 0.500)
U (0.500, 0.500, 0.000)
O (0.146, 0.362, 0.784)
O (0.422, 0.638, 0.784)
O (0.500, 0.000, 0.500)
O (0.578, 0.362, 0.216)
O (0.854, 0.638, 0.216)

E = -7.313 eV/atom
formation energy without anion corrections = -25.52 eV per formula unit



25.
Below is crystalline U2ZnAs4 at its relaxed geometry, with properties calculated at the GGA-PBE level.

a b c (Å): 3.943 3.943 9.676
angles (deg): 90.00 90.00 90.00
Fractional coordinates of all 7 atoms:
U (0.000, 0.500, 0.233)
U (0.500, 0.000, 0.767)
Zn (0.000, 0.000, 0.500)
As (0.000, 0.000, 0.000)
As (0.000, 0.500, 0.667)
As (0.500, 0.000, 0.333)
As (0.500, 0.500, 0.000)

E = -6.557 eV/atom
DOS(E_F) = 1.770 states/eV/atom
ΔE_f = -0.493 eV/atom



26.
Below is crystalline Tl2SbMo at its relaxed geometry, with properties calculated at the GGA-PBE level.

a b c (Å): 3.480 5.299 5.477
angles (deg): 90.00 100.60 90.00
Fractional coordinates of all 4 atoms:
Tl (0.177, 0.000, 0.267)
Tl (0.823, 0.000, 0.733)
Sb (0.500, 0.500, 0.000)
Mo (0.500, 0.500, 0.500)

E = -4.227 eV/atom
DOS(E_F) = 0.713 states/eV/atom
formation energy without anion corrections = 2.78 eV per formula unit
energy above the most stable polymorph in this dataset = 0.385 eV/atom